A plane-wave DFT calculation with PBE was carried out for crystalline KTiS2 at its relaxed geometry.

The electronic total energy comes out at -5.65 eV/atom. For the total magnetic moment, the calculation gives 0.879 μB per formula unit. The uncorrected formation energy is -1.339 eV/atom.

It has space group R-3m (No. 166, hexagonal axes), with a = 3.6497 Å, b = 3.6497 Å, c = 21.9122 Å, α = 90.00°, β = 90.00° and γ = 120.00°. The asymmetric unit holds K at (0.0000, 0.0000, 0.0000), Ti at (0.0000, 0.0000, 0.5000) and S at (0.0000, 0.0000, 0.2295).